(1)
A plane-wave DFT calculation with SCAN was carried out for LiY2MgHg at its PBEsol-relaxed geometry.

abc: 5.659 5.659 4.697
angles: 90.00 90.00 90.00
Atoms (fractional coordinates):
Li 0.000 0.000 0.000
Y 0.000 0.500 0.500
Y 0.500 0.000 0.500
Mg 0.500 0.500 0.000
Hg 0.000 0.000 0.500

Results
symmetry	No. 123
formation energy	0.10	eV/f.u.
crystal system	tetragonal

(2)
A plane-wave DFT calculation with SCAN was carried out for LiMn2Hg at its PBEsol-relaxed geometry.

abc: 3.223 3.223 6.004
angles: 90.00 90.00 90.00
Atoms (fractional coordinates):
Li 0.000 0.000 0.000
Mn 0.500 0.500 0.229
Mn 0.500 0.500 0.771
Hg 0.000 0.000 0.500

Results
symmetry	No. 123
formation energy	0.02	eV/f.u.
crystal system	tetragonal

(3)
A plane-wave DFT calculation with SCAN was carried out for LiMn2Hg at its PBEsol-relaxed geometry.

abc: 9.372 9.372 9.372
angles: 17.63 17.63 17.63
Atoms (fractional coordinates):
Li 0.000 0.000 0.000
Mn 0.252 0.252 0.252
Mn 0.748 0.748 0.748
Hg 0.500 0.500 0.500

Results
symmetry	No. 166
formation energy	0.57	eV/f.u.
crystal system	trigonal